This record from Alexandria describes crystalline CdRe2Mo at its relaxed geometry. The functional is PBE.

Geometry as POSCAR:
```
CdRe2Mo
1.0
0.000 3.189 3.189
3.189 0.000 3.189
3.189 3.189 0.000
Cd Re Mo
1 2 1
Direct
0.000 0.000 0.000
0.250 0.250 0.250
0.500 0.500 0.500
0.750 0.750 0.750
```

Results
Uncorrected energy, eV/cell: -34.23
Calculated formation energy, eV/atom: 0.603

***

This record from Alexandria describes crystalline CdReMo2 at its relaxed geometry. The functional is PBE.

Geometry as POSCAR:
```
CdReMo2
1.0
2.873 0.000 0.000
0.000 2.873 0.000
0.000 0.000 8.186
Cd Re Mo
1 1 2
Direct
0.000 0.000 0.000
0.000 0.000 0.500
0.500 0.500 0.279
0.500 0.500 0.721
```

Results
Uncorrected energy, eV/cell: -33.71
Calculated formation energy, eV/atom: 0.328

***

This record from Alexandria describes crystalline CdReMo4 at its relaxed geometry. The functional is PBE.

Geometry as POSCAR:
```
CdReMo4
1.0
0.000 3.696 3.696
3.696 0.000 3.696
3.696 3.696 0.000
Cd Re Mo
1 1 4
Direct
0.000 0.000 0.000
0.250 0.250 0.250
0.124 0.625 0.625
0.625 0.124 0.625
0.625 0.625 0.124
0.625 0.625 0.625
```

Results
Uncorrected energy, eV/cell: -54.18
Calculated formation energy, eV/atom: 0.419

***

This record from Alexandria describes crystalline Cd2ReMo at its relaxed geometry. The functional is PBE.

Geometry as POSCAR:
```
Cd2ReMo
1.0
1.460 0.843 9.855
-1.460 0.843 9.855
0.000 -1.685 9.855
Cd Re Mo
2 1 1
Direct
0.000 0.000 0.000
0.238 0.238 0.238
0.487 0.487 0.487
0.753 0.753 0.753
```

Results
Uncorrected energy, eV/cell: -23.93
Calculated formation energy, eV/atom: 0.295
Excess energy over the best structure of this formula in the dataset, eV/atom: 0.0234

***

This record from Alexandria describes crystalline CdRe2Mo at its relaxed geometry. The functional is PBE.

Geometry as POSCAR:
```
CdRe2Mo
1.0
1.549 -2.255 0.000
1.549 2.255 0.000
0.000 0.000 9.426
Cd Re Mo
1 2 1
Direct
0.000 0.000 0.000
0.500 0.500 0.269
0.500 0.500 0.731
0.000 0.000 0.500
```

Results
Uncorrected energy, eV/cell: -35.27
Calculated formation energy, eV/atom: 0.344

***

This record from Alexandria describes crystalline CdReMo2 at its relaxed geometry. The functional is PBE.

Geometry as POSCAR:
```
CdReMo2
1.0
2.818 -4.165 0.000
2.818 4.165 0.000
0.000 0.000 2.787
Cd Re Mo
1 1 2
Direct
0.000 0.000 0.000
0.500 0.500 0.000
0.000 0.500 0.500
0.500 0.000 0.500
```

Results
Uncorrected energy, eV/cell: -33.18
Calculated formation energy, eV/atom: 0.462

***

no.,total magnetic moment (μB/cell),D(E_F) (states/eV per atom)
1,0.0,0.8177
2,0.0,1.3715
3,0.0,0.8862
4,0.0,0.8327
5,0.0,0.5653
6,0.0,0.9855